VASP calculation (GGA+U) on MnSn2F11 after structural relaxation.

## Properties
- total magnetic moment (μB per formula unit) = 3.998
- ρ (g cm⁻³) = 4.4
- DFT total energy (eV/atom) = -4.894

```
MnSn2F11
1.0
7.073 0.000 3.687
3.292 6.650 2.314
0.228 -0.127 8.190
F Sn Mn
22 4 2
direct
0.490 0.863 0.523 F
0.613 0.291 0.784 F
0.234 0.307 0.992 F
0.058 0.046 0.237 F
0.376 0.637 0.977 F
0.546 0.994 0.781 F
0.033 0.193 0.508 F
0.820 0.506 0.719 F
0.429 0.019 0.211 F
0.128 0.555 0.738 F
0.842 0.805 0.206 F
0.715 0.703 0.011 F
0.922 0.945 0.762 F
0.842 0.454 0.263 F
0.929 0.797 0.489 F
0.188 0.209 0.716 F
0.353 0.695 0.294 F
0.159 0.481 0.289 F
0.564 0.208 0.444 F
0.716 0.292 0.056 F
0.073 0.965 0.954 F
0.492 0.535 0.546 F
0.122 0.774 0.188 Sn
0.584 0.726 0.312 Sn
0.409 0.299 0.693 Sn
0.900 0.201 0.807 Sn
0.140 0.250 0.250 Mn
0.825 0.750 0.750 Mn
```